Entry 1:
SrTa2In: optimized geometry, PBE.

Cell lengths 4.3624, 4.3624, 4.8297 Å; angles 90.00, 90.00, 90.00 degrees
Sites, in units of the cell vectors:
Sr: 0.0000 0.0000 0.0000
Ta: 0.0000 0.5000 0.5000
Ta: 0.5000 0.0000 0.5000
In: 0.5000 0.5000 0.0000

* magnetic moment: 0.00 μB per cell
* ΔH_f (0 K): 0.804 eV per atom
* final energy: -6.23 eV per atom
* volume: 22.98 A^3/atom

Entry 2:
Sr2TaIn: optimized geometry, PBE.

Cell lengths 5.1600, 7.0280, 7.0280 Å; angles 29.23, 90.00, 90.00 degrees
Sites, in units of the cell vectors:
Sr: 0.0000 0.0000 0.0000
Sr: 0.5000 0.3210 0.3210
Ta: 0.5000 0.6063 0.6063
In: 0.0000 0.7129 0.7129

* magnetic moment: 0.70 μB per cell
* ΔH_f (0 K): 0.510 eV per atom
* final energy: -3.98 eV per atom
* volume: 31.11 A^3/atom

Entry 3:
Sr2TaIn: optimized geometry, PBE.

Cell lengths 5.5028, 5.5028, 5.5028 Å; angles 60.00, 60.00, 60.00 degrees
Sites, in units of the cell vectors:
Sr: 0.0000 0.0000 0.0000
Sr: 0.2500 0.2500 0.2500
Ta: 0.7500 0.7500 0.7500
In: 0.5000 0.5000 0.5000

* magnetic moment: 3.04 μB per cell
* ΔH_f (0 K): 0.667 eV per atom
* final energy: -3.82 eV per atom
* volume: 29.46 A^3/atom

Entry 4:
Sr2TaIn: optimized geometry, PBE.

Cell lengths 4.7797, 4.7797, 5.1331 Å; angles 90.00, 90.00, 90.00 degrees
Sites, in units of the cell vectors:
Sr: 0.0000 0.5000 0.0000
Sr: 0.5000 0.0000 0.0000
Ta: 0.0000 0.0000 0.5000
In: 0.5000 0.5000 0.5000

* magnetic moment: 1.54 μB per cell
* ΔH_f (0 K): 0.630 eV per atom
* final energy: -3.86 eV per atom
* volume: 29.32 A^3/atom

Entry 5:
SrTa2In: optimized geometry, PBE.

Cell lengths 3.1262, 5.4428, 5.5588 Å; angles 90.00, 96.40, 90.00 degrees
Sites, in units of the cell vectors:
Sr: 0.0000 0.0000 0.0000
Ta: 0.3684 0.5000 0.7295
Ta: 0.6316 0.5000 0.2705
In: 0.5000 0.0000 0.5000

* magnetic moment: 0.00 μB per cell
* ΔH_f (0 K): 0.693 eV per atom
* final energy: -6.34 eV per atom
* volume: 23.50 A^3/atom

Entry 6:
SrTa2In: optimized geometry, PBE.

Cell lengths 5.0420, 5.0420, 5.0420 Å; angles 120.15, 120.15, 89.74 degrees
Sites, in units of the cell vectors:
Sr: 0.0000 0.0000 0.0000
Ta: 0.2500 0.7500 0.5000
Ta: 0.5000 0.5000 0.0000
In: 0.7500 0.2500 0.5000

* magnetic moment: 0.00 μB per cell
* ΔH_f (0 K): 0.700 eV per atom
* final energy: -6.33 eV per atom
* volume: 22.61 A^3/atom

Entry 7:
SrTa2In: optimized geometry, PBE.

Cell lengths 5.9325, 5.9325, 2.9479 Å; angles 90.00, 90.00, 118.13 degrees
Sites, in units of the cell vectors:
Sr: 0.0000 0.0000 0.0000
Ta: 0.0000 0.5000 0.5000
Ta: 0.5000 0.0000 0.5000
In: 0.5000 0.5000 0.0000

* magnetic moment: 0.00 μB per cell
* ΔH_f (0 K): 0.832 eV per atom
* final energy: -6.20 eV per atom
* volume: 22.87 A^3/atom

Entry 8:
SrTa2In: optimized geometry, PBE.

Cell lengths 2.9610, 2.9610, 10.3352 Å; angles 90.00, 90.00, 90.18 degrees
Sites, in units of the cell vectors:
Sr: 0.0000 0.0000 0.0000
Ta: 0.5000 0.5000 0.2809
Ta: 0.5000 0.5000 0.7191
In: 0.0000 0.0000 0.5000

* magnetic moment: 0.00 μB per cell
* ΔH_f (0 K): 0.688 eV per atom
* final energy: -6.34 eV per atom
* volume: 22.65 A^3/atom